[1]
A geometry-optimized SrPPt6 structure, computed with GGA-PBE.

Summary:
Total DFT energy (no corrections) (eV per atom): -5.80
Space-group type: R-3m (166)
Crystal system: trigonal
Calculated density (g cm⁻³): 13.69

abc: 6.0668 6.0668 6.0668
angles: 59.56 59.56 59.56
Atoms (fractional coordinates):
P 0.0000 0.0000 0.0000
Pt 0.4473 0.8949 0.8949
Pt 0.5527 0.1051 0.1051
Pt 0.1051 0.1051 0.5527
Pt 0.1051 0.5527 0.1051
Pt 0.8949 0.4473 0.8949
Pt 0.8949 0.8949 0.4473
Sr 0.5000 0.5000 0.5000

***

[2]
A geometry-optimized SrPPt2 structure, computed with GGA-PBE.

Summary:
Total DFT energy (no corrections) (eV per atom): -4.99
Space-group type: P4/mmm (123)
Crystal system: tetragonal
Calculated density (g cm⁻³): 11.14

abc: 4.2165 4.2165 4.2654
angles: 90.00 90.00 90.00
Atoms (fractional coordinates):
P 0.0000 0.0000 0.5000
Pt 0.0000 0.5000 0.0000
Pt 0.5000 0.0000 0.0000
Sr 0.5000 0.5000 0.5000

***

[3]
A geometry-optimized SrP2Pt structure, computed with GGA-PBE.

Summary:
Total DFT energy (no corrections) (eV per atom): -5.30
Space-group type: I-42d (122)
Crystal system: tetragonal
Relative energy among the computed polymorphs (meV/atom): 240
Calculated density (g cm⁻³): 6.31

abc: 7.2233 7.2233 6.1795
angles: 54.24 54.24 90.00
Atoms (fractional coordinates):
Sr 0.2500 0.7500 0.5000
Sr 0.5000 0.5000 0.0000
P 0.7160 0.1250 0.2500
P 0.8750 0.9660 0.7500
P 0.3750 0.2840 0.7500
P 0.0340 0.6250 0.2500
Pt 0.0000 0.0000 0.0000
Pt 0.7500 0.2500 0.5000

***

[4]
A geometry-optimized SrP2Pt structure, computed with GGA-PBE.

Summary:
Total DFT energy (no corrections) (eV per atom): -5.02
Space-group type: Cmmm (65)
Crystal system: orthorhombic
Relative energy among the computed polymorphs (meV/atom): 518
Calculated density (g cm⁻³): 5.51

abc: 4.3596 4.3596 6.6247
angles: 90.00 90.00 124.48
Atoms (fractional coordinates):
Pt 0.5000 0.5000 0.2500
P 0.0000 0.0000 0.4309
P 0.0000 0.0000 0.0691
Sr 0.5000 0.5000 0.7500

***

[5]
A geometry-optimized SrP2Pt structure, computed with GGA-PBE.

Summary:
Total DFT energy (no corrections) (eV per atom): -5.32
Space-group type: Pm (6)
Crystal system: monoclinic
Relative energy among the computed polymorphs (meV/atom): 223
Calculated density (g cm⁻³): 6.33

abc: 4.2685 4.7334 4.4911
angles: 85.23 90.00 90.00
Atoms (fractional coordinates):
P 0.0000 0.2136 0.9618
P 0.5000 0.1961 0.2696
Sr 0.5000 0.7414 0.8084
Pt 0.0000 0.3489 0.4602

***

[6]
A geometry-optimized SrP2Pt3 structure, computed with GGA-PBE.

Summary:
Total DFT energy (no corrections) (eV per atom): -5.63
Space-group type: Immm (71)
Crystal system: orthorhombic
Calculated density (g cm⁻³): 10.85

abc: 3.6126 8.9420 8.9370
angles: 53.07 78.34 78.35
Atoms (fractional coordinates):
Pt 0.3102 0.5152 0.8643
Pt 0.3102 0.8645 0.5152
Pt 0.0002 0.6697 0.3299
Pt 0.6898 0.1355 0.4848
Pt 0.9998 0.3303 0.6701
Pt 0.6898 0.4848 0.1357
P 0.4998 0.8569 0.1435
P 0.5002 0.1431 0.8565
P 0.8657 0.6346 0.6341
P 0.1343 0.3654 0.3659
Sr 0.1423 0.8576 0.8578
Sr 0.8577 0.1424 0.1422

***

[7]
A geometry-optimized SrP2Pt structure, computed with GGA-PBE.

Summary:
Total DFT energy (no corrections) (eV per atom): -5.54
Space-group type: Cmcm (63)
Crystal system: orthorhombic
Relative energy among the computed polymorphs (meV/atom): 0
Calculated density (g cm⁻³): 6.78

abc: 6.2955 6.2955 7.2717
angles: 90.00 90.00 144.15
Atoms (fractional coordinates):
P 0.5872 0.4128 0.0518
P 0.4128 0.5872 0.5518
P 0.5872 0.4128 0.4482
P 0.4128 0.5872 0.9482
Pt 0.9028 0.0972 0.7500
Pt 0.0972 0.9028 0.2500
Sr 0.1696 0.8304 0.7500
Sr 0.8304 0.1696 0.2500

***

[8]
A geometry-optimized SrPPt structure, computed with GGA-PBE.

Summary:
Total DFT energy (no corrections) (eV per atom): -4.81
Space-group type: F-43m (216)
Crystal system: cubic
Calculated density (g cm⁻³): 7.56

abc: 4.6008 4.6008 4.6008
angles: 60.00 60.00 60.00
Atoms (fractional coordinates):
Pt 0.0000 0.0000 0.0000
Sr 0.5000 0.5000 0.5000
P 0.7500 0.7500 0.7500

***

[9]
A geometry-optimized SrPPt2 structure, computed with GGA-PBE.

Summary:
Total DFT energy (no corrections) (eV per atom): -5.18
Space-group type: Immm (71)
Crystal system: orthorhombic
Calculated density (g cm⁻³): 10.42

abc: 5.4775 5.4775 5.4775
angles: 143.47 122.54 70.03
Atoms (fractional coordinates):
Sr 0.0000 0.5000 0.5000
Pt 0.6855 0.6855 0.0000
Pt 0.3145 0.3145 0.0000
P 0.5000 0.0000 0.5000

***

[10]
A geometry-optimized Sr8PPt2 structure, computed with GGA-PBE.

Summary:
Total DFT energy (no corrections) (eV per atom): -3.20
Space-group type: P-1 (2)
Crystal system: triclinic
Calculated density (g cm⁻³): 3.73

abc: 6.4024 9.5001 9.4958
angles: 120.03 90.00 90.00
Atoms (fractional coordinates):
Sr 0.2429 0.1587 0.8433
Sr 0.2429 0.1567 0.3155
Sr 0.2798 0.6666 0.3332
Sr 0.7571 0.8433 0.6845
Sr 0.7571 0.8413 0.1567
Sr 0.7571 0.3155 0.1590
Sr 0.2429 0.6845 0.8410
Sr 0.7202 0.3334 0.6668
Pt 0.7925 0.6666 0.3332
Pt 0.2075 0.3334 0.6668
P 0.0000 0.0000 0.0000

***

[11]
A geometry-optimized SrP2Pt structure, computed with GGA-PBE.

Summary:
Total DFT energy (no corrections) (eV per atom): -4.53
Space-group type: F-43m (216)
Crystal system: cubic
Relative energy among the computed polymorphs (meV/atom): 1017
Calculated density (g cm⁻³): 7.20

abc: 4.8262 4.8262 4.8262
angles: 60.00 60.00 60.00
Atoms (fractional coordinates):
Sr 0.7500 0.7500 0.7500
Pt 0.5000 0.5000 0.5000
P 0.2500 0.2500 0.2500
P 0.0000 0.0000 0.0000

***

[12]
A geometry-optimized SrPPt2 structure, computed with GGA-PBE.

Summary:
Total DFT energy (no corrections) (eV per atom): -4.94
Space-group type: I4/mmm (139)
Crystal system: tetragonal
Calculated density (g cm⁻³): 11.09

abc: 5.3096 5.3096 5.3096
angles: 134.01 134.01 67.07
Atoms (fractional coordinates):
Pt 0.2500 0.7500 0.5000
Pt 0.7500 0.2500 0.5000
P 0.0000 0.0000 0.0000
Sr 0.5000 0.5000 0.0000

***

[13]
A geometry-optimized SrPPt2 structure, computed with GGA-PBE.

Summary:
Total DFT energy (no corrections) (eV per atom): -4.85
Space-group type: F-43m (216)
Crystal system: cubic
Calculated density (g cm⁻³): 10.92

abc: 4.7824 4.7824 4.7824
angles: 60.00 60.00 60.00
Atoms (fractional coordinates):
P 0.5000 0.5000 0.5000
Sr 0.2500 0.2500 0.2500
Pt 0.0000 0.0000 0.0000
Pt 0.7500 0.7500 0.7500

***

[14]
A geometry-optimized SrP2Pt structure, computed with GGA-PBE.

Summary:
Total DFT energy (no corrections) (eV per atom): -5.54
Space-group type: P2/m (10)
Crystal system: monoclinic
Relative energy among the computed polymorphs (meV/atom): 1
Calculated density (g cm⁻³): 6.48

abc: 3.9230 4.9517 4.5741
angles: 83.95 90.00 90.00
Atoms (fractional coordinates):
Sr 0.5000 0.7500 0.7500
P 0.0000 0.3579 0.5194
P 0.0000 0.1421 0.9806
Pt 0.5000 0.2500 0.2500

***

[15]
A geometry-optimized SrP2Pt structure, computed with GGA-PBE.

Summary:
Total DFT energy (no corrections) (eV per atom): -4.87
Space-group type: P4mm (99)
Crystal system: tetragonal
Relative energy among the computed polymorphs (meV/atom): 672
Calculated density (g cm⁻³): 7.17

abc: 3.4762 3.4762 6.6042
angles: 90.00 90.00 90.00
Atoms (fractional coordinates):
P 0.5000 0.5000 0.2855
P 0.0000 0.0000 0.0434
Pt 0.0000 0.0000 0.4017
Sr 0.5000 0.5000 0.7694